No. 1
The following is a PBE calculation of a relaxed structure of InPd4Pb3, from Alexandria via LeMat-Bulk.

The structure in extended XYZ format:
```
8
Lattice="-4.655 -4.070 -2.332 5.161 -1.750 3.739 -0.223 4.295 5.017" Properties=species:S:1:pos:R:3 pbc="T T T"
Pb -1.604 0.883 4.230
Pb 0.676 -2.352 2.860
Pb -4.112 0.190 2.263
Pd 0.512 0.627 2.408
Pd 3.134 1.979 7.059
Pd 3.564 -0.329 4.226
Pd -1.361 -1.284 1.141
In 1.545 1.316 4.887
```

Results
Energy = -35.796 eV for the cell shown
Formation energy from the elements = -145 meV/atom
DOS(E_F) = 3.1 states/eV/f.u.

***

No. 2
The following is a PBE calculation of a relaxed structure of InPd5Pb, from Alexandria via LeMat-Bulk.

The structure in extended XYZ format:
```
14
Lattice="-1.423 1.180 6.775 5.515 -2.473 3.576 4.105 4.399 3.879" Properties=species:S:1:pos:R:3 pbc="T T T"
Pd 6.702 1.822 7.357
Pd 1.303 -0.420 2.401
Pd 5.401 1.032 9.631
Pd 2.796 2.074 4.599
Pd 5.649 -0.977 7.762
Pd 6.894 3.526 11.828
Pd 2.548 4.083 6.467
Pd 1.495 1.284 6.872
Pd 4.232 3.050 11.301
Pd 3.964 0.057 2.928
Pb 0.000 0.000 0.000
Pb 2.053 2.200 1.940
In 3.984 -0.027 5.725
In 4.213 3.133 8.505
```

Results
Energy = -67.729 eV for the cell shown
Formation energy from the elements = -208 meV/atom
DOS(E_F) = 4.1 states/eV/f.u.

***

No. 3
The following is a PBE calculation of a relaxed structure of InPd3Pb2, from Alexandria via LeMat-Bulk.

The structure in extended XYZ format:
```
12
Lattice="5.641 0.000 0.000 0.000 7.192 -0.055 0.000 -3.054 6.511" Properties=species:S:1:pos:R:3 pbc="T T T"
Pb 1.239 1.062 5.479
Pb 4.059 3.075 0.977
Pb 4.059 -0.397 3.202
Pb 1.239 4.534 3.254
Pd 2.649 -1.453 5.485
Pd 5.470 5.590 0.972
Pd 5.470 2.069 3.228
Pd 5.470 -1.453 5.485
Pd 2.649 5.590 0.972
Pd 2.649 2.069 3.228
In 1.239 0.771 1.204
In 4.059 3.366 5.253
```

Results
Energy = -55.132 eV for the cell shown
Formation energy from the elements = -305 meV/atom
DOS(E_F) = 2.4 states/eV/f.u.

***

No. 4
The following is a PBE calculation of a relaxed structure of InPd7Pb2, from Alexandria via LeMat-Bulk.

The structure in extended XYZ format:
```
10
Lattice="3.055 0.000 0.000 0.000 9.108 -0.793 0.000 -4.817 7.770" Properties=species:S:1:pos:R:3 pbc="T T T"
Pd 1.528 2.156 0.713
Pd 0.000 6.531 0.792
Pd 0.000 -2.240 6.186
Pd 1.528 2.134 6.264
Pd 1.528 -0.336 2.246
Pd 1.528 4.627 4.731
Pd 1.528 2.145 3.489
Pb 1.528 4.577 1.993
Pb 1.528 -0.286 4.984
In 0.000 0.000 0.000
```

Results
Energy = -46.558 eV for the cell shown
Formation energy from the elements = -5 meV/atom
DOS(E_F) = 4.0 states/eV/f.u.

***

No. 5
The following is a PBE calculation of a relaxed structure of InPd3Pb, from Alexandria via LeMat-Bulk.

The structure in extended XYZ format:
```
5
Lattice="5.069 0.000 0.000 0.000 5.069 0.000 0.000 0.000 5.069" Properties=species:S:1:pos:R:3 pbc="T T T"
Pd 2.535 0.000 0.000
Pd 0.000 0.000 2.535
Pd 0.000 2.535 0.000
Pb 0.000 0.000 0.000
In 2.535 2.535 2.535
```

Results
Energy = -19.251 eV for the cell shown
Formation energy from the elements = 555 meV/atom
DOS(E_F) = 3.4 states/eV/f.u.

***

No. 6
The following is a PBE calculation of a relaxed structure of InPd3Pb3, from Alexandria via LeMat-Bulk.

The structure in extended XYZ format:
```
14
Lattice="-6.234 1.212 -2.005 -0.765 -6.053 2.669 -1.610 3.007 6.557" Properties=species:S:1:pos:R:3 pbc="T T T"
Pd -6.732 -3.915 1.792
Pd -3.614 1.432 0.918
Pd -4.995 -3.267 6.302
Pd -0.907 -2.165 3.232
Pd -1.877 2.080 5.429
Pd -7.702 0.330 3.988
Pb -2.142 -4.225 1.492
Pb -3.843 0.139 4.712
Pb -6.168 1.558 2.018
Pb -2.441 -3.393 5.203
Pb -4.766 -1.974 2.508
Pb -4.858 -0.616 -0.829
In -1.972 -0.779 1.096
In -6.637 -1.056 6.124
```

Results
Energy = -61.610 eV for the cell shown
Formation energy from the elements = -195 meV/atom
DOS(E_F) = 3.0 states/eV/f.u.

***

No. 7
The following is a PBE calculation of a relaxed structure of InPdPb, from Alexandria via LeMat-Bulk.

The structure in extended XYZ format:
```
3
Lattice="3.506 0.000 0.000 -1.753 3.036 0.000 0.000 0.000 6.624" Properties=species:S:1:pos:R:3 pbc="T T T"
In 0.000 2.024 4.139
Pd 1.753 1.012 2.268
Pb 0.000 0.000 0.217
```

Results
Energy = -12.128 eV for the cell shown
Formation energy from the elements = -163 meV/atom
DOS(E_F) = 1.4 states/eV/f.u.

***

No. 8
The following is a PBE calculation of a relaxed structure of PmInPdPb, from Alexandria via LeMat-Bulk.

The structure in extended XYZ format:
```
4
Lattice="-4.749 -0.603 1.954 -1.127 -4.194 2.806 -0.773 0.429 5.094" Properties=species:S:1:pos:R:3 pbc="T T T"
Pb -4.987 -3.276 7.391
Pd 0.000 0.000 0.000
In -3.325 -2.184 4.927
Pm -1.662 -1.092 2.464
```

Results
Energy = -18.013 eV for the cell shown
Formation energy from the elements = -406 meV/atom
DOS(E_F) = 0.8 states/eV/f.u.

***

No. 9
The following is a PBE calculation of a relaxed structure of InPd5PtPb2, from Alexandria via LeMat-Bulk.

The structure in extended XYZ format:
```
18
Lattice="-0.608 -2.749 -7.617 8.068 -0.861 -0.334 -4.201 -3.343 5.871" Properties=species:S:1:pos:R:3 pbc="T T T"
Pd -2.098 -4.408 -0.885
Pd 1.414 -3.064 3.637
Pd 1.845 -3.889 -5.716
Pd 5.357 -2.545 -1.194
Pd 2.004 -4.534 -0.209
Pd 3.730 -1.805 -3.975
Pd 0.000 0.000 0.000
Pd 5.946 -4.015 -5.040
Pd -2.687 -2.938 2.960
Pd 1.255 -2.419 -1.871
Pb 6.843 -1.790 -3.161
Pb 2.963 -0.663 -1.066
Pb 0.616 -1.820 -4.790
Pb 4.496 -2.946 -6.885
In -0.235 -2.574 0.948
In 3.494 -4.379 -3.027
Pt 3.799 -3.005 0.781
Pt -0.540 -3.949 -2.861
```

Results
Energy = -83.210 eV for the cell shown
Formation energy from the elements = 62 meV/atom
DOS(E_F) = 4.6 states/eV/f.u.

***

No. 10
The following is a PBE calculation of a relaxed structure of PuInPdPb, from Alexandria via LeMat-Bulk.

The structure in extended XYZ format:
```
4
Lattice="5.111 0.000 0.000 2.556 4.426 0.000 2.556 1.475 4.173" Properties=species:S:1:pos:R:3 pbc="T T T"
In 2.556 1.475 1.043
Pd 0.000 0.000 0.000
Pu 7.667 4.426 3.130
Pb 5.111 2.951 2.087
```

Results
Energy = -26.679 eV for the cell shown
Formation energy from the elements = -177 meV/atom
DOS(E_F) = 12.8 states/eV/f.u.

***

No. 11
The following is a PBE calculation of a relaxed structure of InPdRhPb, from Alexandria via LeMat-Bulk.

The structure in extended XYZ format:
```
4
Lattice="4.729 0.000 0.000 2.365 4.096 0.000 2.365 1.365 3.861" Properties=species:S:1:pos:R:3 pbc="T T T"
Rh 4.729 2.730 1.931
Pb 2.365 1.365 0.965
In 7.094 4.096 2.896
Pd 0.000 0.000 0.000
```

Results
Energy = -19.749 eV for the cell shown
Formation energy from the elements = -190 meV/atom
DOS(E_F) = 3.1 states/eV/f.u.

***

No. 12
The following is a PBE calculation of a relaxed structure of InPd2RhPb, from Alexandria via LeMat-Bulk.

The structure in extended XYZ format:
```
5
Lattice="-2.311 -2.502 -3.504 -3.393 -2.185 3.798 -3.097 3.729 -0.621" Properties=species:S:1:pos:R:3 pbc="T T T"
Pb -1.696 -1.093 1.899
In 0.000 0.000 0.000
Pd -1.156 -1.251 -1.752
Pd -1.548 1.865 -0.310
Rh -4.400 -0.479 -0.163
```

Results
Energy = -18.832 eV for the cell shown
Formation energy from the elements = 1070 meV/atom
DOS(E_F) = 5.7 states/eV/f.u.